VASP calculation (PBE) on a geometry-optimized BaBr4 structure.

a = 6.5590 Å, b = 6.5590 Å, c = 6.5590 Å
α = 109.47°, β = 109.47°, γ = 109.47°
Fractional positions:
Ba (0.0000, 0.0000, 0.0000)
Br (0.0000, 0.0000, 0.5000)
Br (0.0000, 0.5000, 0.0000)
Br (0.5000, 0.0000, 0.0000)
Br (0.5000, 0.5000, 0.5000)

The density of states at the Fermi level is 7.4 states/eV per cell. For the formation energy (no corrections), the calculation gives -91.96 kJ/mol of atoms.